! MgNiH2, optimized geometry, DFT PBE; values from VASP
! total moment = 0.0 μB per formula unit
! energy above the lowest structure with this stoichiometry = 0.228 eV per atom
&SYSTEM
  ibrav = 0, nat = 4, ntyp = 3
/
ATOMIC_SPECIES
H 1.01 H.upf
Ni 58.69 Ni.upf
Mg 24.30 Mg.upf
CELL_PARAMETERS angstrom
2.931 0.000 0.000
1.465 2.538 0.000
1.465 0.846 4.441
ATOMIC_POSITIONS crystal
H 0.276 0.276 0.173
H 0.724 0.724 0.827
Ni 0.000 0.000 0.000
Mg 0.500 0.500 0.500